# 1
VASP calculation (PBE) on a relaxed Si2PbCl crystal.

```
Si2PbCl
1.0
-2.6263 -2.7882 -1.3476
2.8632 -2.8594 0.3362
-3.4716 -5.0536 11.1042
Pb Si Cl
2 4 2
direct
0.0000 0.0000 0.0000
0.7500 0.2500 0.5000
0.7174 0.1250 0.2500
0.0326 0.6250 0.2500
0.3750 0.2826 0.7500
0.8750 0.9674 0.7500
0.5000 0.5000 0.0000
0.2500 0.7500 0.5000
```

## Properties
* offset from the most stable computed form: 343 meV per atom
* formation energy without anion corrections: 0.2636 eV/atom
* density: 4.9 g/cm³

=====

# 2
VASP calculation (PBE) on a relaxed SiPb2Cl crystal.

```
SiPb2Cl
1.0
3.4713 0.0000 0.0000
0.0000 7.9766 -0.0581
0.0000 4.7254 3.8880
Cl Pb Si
1 2 1
direct
0.0000 0.0000 0.5000
0.0000 0.0000 0.0000
0.5000 0.5000 0.0000
0.5000 0.5000 0.5000
```

## Properties
* offset from the most stable computed form: 117 meV per atom
* formation energy without anion corrections: -0.0180 eV/atom
* density: 7.3 g/cm³

=====

# 3
VASP calculation (PBE) on a relaxed Si2PbCl crystal.

```
Si2PbCl
1.0
-2.2092 -2.3657 -2.0331
3.2008 -0.2650 -3.1695
4.0717 -4.8982 1.2750
Cl Pb Si
1 1 2
direct
0.0000 0.5242 0.4440
0.5000 0.8338 0.7975
0.0000 0.9200 0.1397
0.5000 0.2220 0.1187
```

## Properties
* offset from the most stable computed form: 79 meV per atom
* formation energy without anion corrections: 0.0002 eV/atom
* density: 4.7 g/cm³